This record from Alexandria describes a geometry-optimized Fe3H9S2O15 structure. The functional is GGA+U.

- Crystal system: trigonal
- Raw total energy: -5.720 eV per atom
- E above lowest polymorph: 9 meV per atom

```
Fe3H9S2O15
1.0
7.193 -0.018 -0.013
3.336 6.373 -0.013
3.336 2.014 6.046
O H Fe S
15 9 3 2
Cartesian
8.123 2.270 1.633
10.457 6.311 3.035
3.453 2.084 3.003
4.715 1.420 1.022
5.865 6.248 4.495
9.194 6.976 5.019
8.261 2.277 4.495
5.794 3.497 5.292
13.691 8.263 5.945
5.458 3.294 2.370
5.794 6.129 1.633
10.457 4.884 5.019
8.452 5.101 3.670
8.261 4.986 0.730
3.453 3.510 1.022
6.633 7.456 5.364
6.640 5.754 4.140
8.185 4.940 1.712
8.185 3.193 4.140
9.688 5.847 0.565
5.544 5.190 1.789
7.176 2.487 1.789
5.544 3.346 4.352
9.688 2.395 5.364
1.680 1.014 2.988
1.680 3.156 0.012
3.575 0.016 0.012
9.632 5.813 4.182
4.275 2.580 1.856
```